VASP calculation (GGA-PBE) on a relaxed structure of CsB.

Cell: 6.1190 6.1190 6.4935 Å, 90.00 90.00 120.00°
Element x y z (fractional)
Cs  0.3333  0.6667  0.2500
Cs  0.6667  0.3333  0.7500
B  0.3333  0.6667  0.7500
B  0.6667  0.3333  0.2500

**Fermi-level density of states**: 4.38 states/eV/f.u.
**Total moment**: 1.003 μB per atom
**Formation enthalpy at 0 K**: 2.16 eV/atom
**Electronic total energy**: -1.60 eV/atom
**Symmetry**: P6_3/mmc (194)